# Dy3Mg3TlCdGa (PBE-GGA, optimized geometry)
# Electronic total energy (eV/atom): -3.129
# Calculated volume (Å³/atom): 24.39
data_Dy3Mg3TlCdGa
_chemical_formula_sum 'Dy3 Mg3 Tl1 Cd1 Ga1'
_symmetry_space_group_name_H-M 'P -6'
_symmetry_Int_Tables_number 174
_cell_length_a 7.4742
_cell_length_b 7.4742
_cell_length_c 4.5377
_cell_angle_alpha 90.00
_cell_angle_beta 90.00
_cell_angle_gamma 120.00
loop_
_symmetry_equiv_pos_as_xyz
'x,y,z'
'-x+y,-x,-z'
'-y,x-y,z'
'x,y,-z'
'-x+y,-x,z'
'-y,x-y,-z'
loop_
_atom_site_label
_atom_site_type_symbol
_atom_site_fract_x
_atom_site_fract_y
_atom_site_fract_z
Dy1 Dy 0.1016 0.7559 0.0000
Mg1 Mg 0.4257 0.0852 0.5000
Tl1 Tl 0.0000 0.0000 0.5000
Cd1 Cd 0.6667 0.3333 0.0000
Ga1 Ga 0.3333 0.6667 0.5000